Compound: CaTl2Fe
Source: Alexandria via LeMat-Bulk
Functional: meta-GGA SCAN
Structure: PBEsol geometry

- Formation enthalpy at 0 K: 0.383 eV per atom
- Space group: R3m (160)
- Total moment: 0.7238 μB per atom
- Crystal system: trigonal

Cell lengths 3.4174, 3.4174, 28.4926 Å; angles 90.00, 90.00, 120.00 degrees
With the nearest neighbours (Å) after each atom.
Fractional coordinates of all 12 atoms:
Ca  0.0000  0.0000  0.0000  3 Fe 2.95
Ca  0.3333  0.6667  0.6667  3 Fe 2.95
Ca  0.6667  0.3333  0.3333  3 Fe 2.95
Tl  0.0000  0.0000  0.2373  9 Tl 3.25-3.42, 3 Ca 3.37
Tl  0.0000  0.0000  0.4801  3 Fe 2.80
Tl  0.3333  0.6667  0.1467  3 Fe 2.80
Tl  0.3333  0.6667  0.9040  9 Tl 3.25-3.42, 3 Ca 3.37
Tl  0.6667  0.3333  0.5707  9 Tl 3.25-3.42, 3 Ca 3.37
Tl  0.6667  0.3333  0.8134  3 Fe 2.80
Fe  0.0000  0.0000  0.7437  3 Tl 2.80, 3 Ca 2.95
Fe  0.3333  0.6667  0.4104  3 Tl 2.80, 3 Ca 2.95
Fe  0.6667  0.3333  0.0770  3 Tl 2.80, 3 Ca 2.95